The following is a PBE-GGA calculation of a relaxed Sr2Re2I crystal, from the Alexandria database.

Summary:
E_form (uncorrected)	760	meV per atom

a b c (Å): 9.305 9.305 3.574
angles (deg): 90.00 90.00 90.00
Sites, in units of the cell vectors:
Sr: 0.188 0.312 0.000
Sr: 0.312 0.812 0.000
Sr: 0.688 0.188 0.000
Sr: 0.812 0.688 0.000
Re: 0.083 0.583 0.500
Re: 0.417 0.083 0.500
Re: 0.583 0.917 0.500
Re: 0.917 0.417 0.500
I: 0.000 0.000 0.000
I: 0.500 0.500 0.000

---

The following is a PBE-GGA calculation of a relaxed SrReTeI2 crystal, from the Alexandria database.

Summary:
E_form (uncorrected)	775	meV per atom

a b c (Å): 6.229 6.229 6.462
angles (deg): 90.00 90.00 90.00
Sites, in units of the cell vectors:
Sr: 0.000 0.000 0.000
Re: 0.500 0.500 0.500
Te: 0.000 0.000 0.500
I: 0.000 0.500 0.000
I: 0.500 0.000 0.000

---

The following is a PBE-GGA calculation of a relaxed SrReTe2I crystal, from the Alexandria database.

Summary:
E_form (uncorrected)	-21	meV per atom

a b c (Å): 5.286 5.286 5.761
angles (deg): 90.00 90.00 90.00
Sites, in units of the cell vectors:
Sr: 0.000 0.000 0.000
Re: 0.500 0.500 0.500
Te: 0.000 0.500 0.500
Te: 0.500 0.000 0.500
I: 0.500 0.500 0.000

---

The following is a PBE-GGA calculation of a relaxed SrReTeI2 crystal, from the Alexandria database.

Summary:
E_form (uncorrected)	14	meV per atom

a b c (Å): 5.654 5.654 5.155
angles (deg): 90.00 90.00 90.00
Sites, in units of the cell vectors:
Sr: 0.000 0.000 0.000
Re: 0.500 0.500 0.500
Te: 0.500 0.500 0.000
I: 0.000 0.500 0.500
I: 0.500 0.000 0.500

---

The following is a PBE-GGA calculation of a relaxed SrReTe2I crystal, from the Alexandria database.

Summary:
E_form (uncorrected)	1099	meV per atom

a b c (Å): 6.255 6.255 6.182
angles (deg): 90.00 90.00 90.00
Sites, in units of the cell vectors:
Sr: 0.000 0.000 0.000
Re: 0.500 0.500 0.500
Te: 0.000 0.500 0.000
Te: 0.500 0.000 0.000
I: 0.000 0.000 0.500

---

The following is a PBE-GGA calculation of a relaxed SrReTeI2 crystal, from the Alexandria database.

Summary:
E_form (uncorrected)	1015	meV per atom

a b c (Å): 6.148 6.148 6.777
angles (deg): 90.00 90.00 90.00
Sites, in units of the cell vectors:
Sr: 0.000 0.000 0.000
Re: 0.000 0.000 0.500
Te: 0.500 0.500 0.500
I: 0.000 0.500 0.000
I: 0.500 0.000 0.000

---

The following is a PBE-GGA calculation of a relaxed Sr2ZnReI crystal, from the Alexandria database.

Summary:
E_form (uncorrected)	249	meV per atom

a b c (Å): 5.860 5.860 4.875
angles (deg): 90.00 90.00 90.00
Sites, in units of the cell vectors:
Sr: 0.000 0.500 0.000
Sr: 0.500 0.000 0.000
Zn: 0.000 0.000 0.500
Re: 0.000 0.000 0.000
I: 0.500 0.500 0.500

---

The following is a PBE-GGA calculation of a relaxed TaRe3I crystal, from the Alexandria database.

Summary:
E_form (uncorrected)	2571	meV per atom

a b c (Å): 4.871 4.871 4.871
angles (deg): 90.00 90.00 90.00
Sites, in units of the cell vectors:
Ta: 0.000 0.000 0.000
Re: 0.000 0.000 0.500
Re: 0.000 0.500 0.000
Re: 0.500 0.000 0.000
I: 0.500 0.500 0.500

---

The following is a PBE-GGA calculation of a relaxed TaRe3I crystal, from the Alexandria database.

Summary:
E_form (uncorrected)	2820	meV per atom

a b c (Å): 4.739 4.739 4.739
angles (deg): 90.00 90.00 90.00
Sites, in units of the cell vectors:
Ta: 0.000 0.000 0.000
Re: 0.000 0.500 0.500
Re: 0.500 0.000 0.500
Re: 0.500 0.500 0.000
I: 0.500 0.500 0.500

---

The following is a PBE-GGA calculation of a relaxed TaReTe2I crystal, from the Alexandria database.

Summary:
E_form (uncorrected)	1383	meV per atom

a b c (Å): 5.416 5.416 5.588
angles (deg): 90.00 90.00 90.00
Sites, in units of the cell vectors:
Ta: 0.000 0.000 0.000
Re: 0.500 0.500 0.500
Te: 0.000 0.500 0.000
Te: 0.500 0.000 0.000
I: 0.000 0.000 0.500

---

The following is a PBE-GGA calculation of a relaxed ReTc2I2 crystal, from the Alexandria database.

Summary:
E_form (uncorrected)	1473	meV per atom

a b c (Å): 9.156 9.156 9.156
angles (deg): 158.37 158.37 30.77
Sites, in units of the cell vectors:
Re: 0.000 0.000 0.000
Tc: 0.250 0.750 0.500
Tc: 0.750 0.250 0.500
I: 0.402 0.402 0.000
I: 0.598 0.598 0.000

---

The following is a PBE-GGA calculation of a relaxed ReTcI3 crystal, from the Alexandria database.

Summary:
E_form (uncorrected)	1534	meV per atom

a b c (Å): 5.478 5.478 5.478
angles (deg): 90.00 90.00 90.00
Sites, in units of the cell vectors:
Re: 0.000 0.000 0.000
Tc: 0.500 0.500 0.500
I: 0.000 0.000 0.500
I: 0.000 0.500 0.000
I: 0.500 0.000 0.000

---

The following is a PBE-GGA calculation of a relaxed Re2TcI crystal, from the Alexandria database.

Summary:
E_form (uncorrected)	1227	meV per atom

a b c (Å): 4.535 4.535 4.535
angles (deg): 60.00 60.00 60.00
Sites, in units of the cell vectors:
Re: 0.250 0.250 0.250
Re: 0.750 0.750 0.750
Tc: 0.000 0.000 0.000
I: 0.500 0.500 0.500

---

The following is a PBE-GGA calculation of a relaxed ReTcI2 crystal, from the Alexandria database.

Summary:
E_form (uncorrected)	1445	meV per atom

a b c (Å): 4.753 4.753 4.753
angles (deg): 60.00 60.00 60.00
Sites, in units of the cell vectors:
Re: 0.000 0.000 0.000
Tc: 0.500 0.500 0.500
I: 0.250 0.250 0.250
I: 0.750 0.750 0.750

---

The following is a PBE-GGA calculation of a relaxed Re2TcI crystal, from the Alexandria database.

Summary:
E_form (uncorrected)	1572	meV per atom

a b c (Å): 7.093 7.093 7.093
angles (deg): 131.89 131.89 70.41
Sites, in units of the cell vectors:
Re: 0.092 0.625 0.967
Re: 0.375 0.342 0.467
Re: 0.658 0.125 0.033
Re: 0.875 0.908 0.533
Tc: 0.000 0.000 0.000
Tc: 0.750 0.250 0.500
I: 0.250 0.750 0.500
I: 0.500 0.500 0.000

---

The following is a PBE-GGA calculation of a relaxed ReTc2I2 crystal, from the Alexandria database.

Summary:
E_form (uncorrected)	1562	meV per atom

a b c (Å): 7.630 7.630 3.151
angles (deg): 90.00 90.00 90.00
Sites, in units of the cell vectors:
Re: 0.000 0.000 0.000
Re: 0.500 0.500 0.000
Tc: 0.149 0.351 0.500
Tc: 0.351 0.851 0.500
Tc: 0.649 0.149 0.500
Tc: 0.851 0.649 0.500
I: 0.155 0.655 0.000
I: 0.345 0.155 0.000
I: 0.655 0.845 0.000
I: 0.845 0.345 0.000

---

The following is a PBE-GGA calculation of a relaxed Re3TcI crystal, from the Alexandria database.

Summary:
E_form (uncorrected)	2363	meV per atom

a b c (Å): 4.752 4.752 4.752
angles (deg): 90.00 90.00 90.00
Sites, in units of the cell vectors:
Re: 0.000 0.000 0.500
Re: 0.000 0.500 0.000
Re: 0.500 0.000 0.000
Tc: 0.000 0.000 0.000
I: 0.500 0.500 0.500

---

The following is a PBE-GGA calculation of a relaxed ReTcI2 crystal, from the Alexandria database.

Summary:
E_form (uncorrected)	1496	meV per atom

a b c (Å): 7.300 7.300 7.300
angles (deg): 131.87 131.87 70.43
Sites, in units of the cell vectors:
Re: 0.000 0.000 0.000
Re: 0.750 0.250 0.500
Tc: 0.250 0.750 0.500
Tc: 0.500 0.500 0.000
I: 0.125 0.625 0.000
I: 0.375 0.375 0.500
I: 0.625 0.125 0.000
I: 0.875 0.875 0.500

---

The following is a PBE-GGA calculation of a relaxed ReTcTe2I crystal, from the Alexandria database.

Summary:
E_form (uncorrected)	1417	meV per atom

a b c (Å): 5.164 5.164 5.702
angles (deg): 90.00 90.00 90.00
Sites, in units of the cell vectors:
Re: 0.000 0.000 0.000
Tc: 0.500 0.500 0.500
Te: 0.000 0.500 0.000
Te: 0.500 0.000 0.000
I: 0.000 0.000 0.500

---

The following is a PBE-GGA calculation of a relaxed ZrRe2TcI crystal, from the Alexandria database.

Summary:
E_form (uncorrected)	1565	meV per atom

a b c (Å): 4.761 4.761 5.113
angles (deg): 90.00 90.00 90.00
Sites, in units of the cell vectors:
Zr: 0.000 0.000 0.000
Re: 0.000 0.500 0.500
Re: 0.500 0.000 0.500
Tc: 0.000 0.000 0.500
I: 0.500 0.500 0.000

---

The following is a PBE-GGA calculation of a relaxed ReTe2I crystal, from the Alexandria database.

Summary:
E_form (uncorrected)	279	meV per atom

a b c (Å): 12.441 12.441 12.441
angles (deg): 15.76 15.76 15.76
Sites, in units of the cell vectors:
Re: 0.000 0.000 0.000
Te: 0.385 0.385 0.385
Te: 0.615 0.615 0.615
I: 0.500 0.500 0.500

---

The following is a PBE-GGA calculation of a relaxed ReTeI3 crystal, from the Alexandria database.

Summary:
E_form (uncorrected)	785	meV per atom

a b c (Å): 5.390 5.390 5.390
angles (deg): 90.00 90.00 90.00
Sites, in units of the cell vectors:
Re: 0.000 0.000 0.000
Te: 0.500 0.500 0.500
I: 0.000 0.000 0.500
I: 0.000 0.500 0.000
I: 0.500 0.000 0.000

---

The following is a PBE-GGA calculation of a relaxed ReTe2I crystal, from the Alexandria database.

Summary:
E_form (uncorrected)	470	meV per atom

a b c (Å): 7.479 7.479 7.479
angles (deg): 120.66 120.66 88.86
Sites, in units of the cell vectors:
Re: 0.000 0.000 0.000
Re: 0.750 0.250 0.500
Te: 0.023 0.625 0.898
Te: 0.375 0.273 0.398
Te: 0.727 0.125 0.102
Te: 0.875 0.977 0.602
I: 0.250 0.750 0.500
I: 0.500 0.500 0.000

---

The following is a PBE-GGA calculation of a relaxed ReTe2I crystal, from the Alexandria database.

Summary:
E_form (uncorrected)	1161	meV per atom

a b c (Å): 5.126 5.126 5.126
angles (deg): 60.00 60.00 60.00
Sites, in units of the cell vectors:
Re: 0.000 0.000 0.000
Te: 0.250 0.250 0.250
Te: 0.750 0.750 0.750
I: 0.500 0.500 0.500

---

The following is a PBE-GGA calculation of a relaxed ReTe2I2 crystal, from the Alexandria database.

Summary:
E_form (uncorrected)	897	meV per atom

a b c (Å): 7.261 7.261 7.367
angles (deg): 90.00 90.00 90.00
Sites, in units of the cell vectors:
Re: 0.000 0.000 0.000
Re: 0.500 0.500 0.000
Te: 0.128 0.372 0.500
Te: 0.372 0.872 0.500
Te: 0.628 0.128 0.500
Te: 0.872 0.628 0.500
I: 0.173 0.673 0.000
I: 0.327 0.173 0.000
I: 0.673 0.827 0.000
I: 0.827 0.327 0.000

---

The following is a PBE-GGA calculation of a relaxed ReTe2I2 crystal, from the Alexandria database.

Summary:
E_form (uncorrected)	1082	meV per atom

a b c (Å): 12.351 12.351 12.351
angles (deg): 160.95 160.95 27.07
Sites, in units of the cell vectors:
Re: 0.000 0.000 0.000
Te: 0.250 0.750 0.500
Te: 0.750 0.250 0.500
I: 0.426 0.426 0.000
I: 0.574 0.574 0.000